No. 1
This record from the Alexandria database describes crystalline Cs2RbPd at its relaxed geometry. The functional is PBE-GGA.

Geometry as POSCAR:
```
Cs2RbPd
1.0
-7.8569 -6.3062 1.3449
-0.5357 -1.4742 -10.0423
0.1401 -9.1767 -3.8040
Cs Rb Pd
4 2 2
direct
0.8112 0.1250 0.2500
0.9388 0.6250 0.2500
0.3750 0.1888 0.7500
0.8750 0.0612 0.7500
0.5000 0.5000 0.0000
0.2500 0.7500 0.5000
0.0000 0.0000 0.0000
0.7500 0.2500 0.5000
```

Summary:
Energy above the lowest structure with this stoichiometry (eV/atom): 0.103


No. 2
This record from the Alexandria database describes crystalline Cs7Rb12Pd at its relaxed geometry. The functional is PBE-GGA.

Geometry as POSCAR:
```
Cs7Rb12Pd
1.0
-1.6390 8.4373 -2.5090
9.0529 -4.9388 -11.8711
-14.5931 -5.8281 0.5852
Cs Rb Pd
7 12 1
direct
0.0925 0.7867 0.0003
0.9077 0.0003 0.2136
0.6941 0.7864 0.7867
0.5000 0.0000 0.0000
0.3059 0.2136 0.2133
0.0923 0.9997 0.7864
0.9075 0.2133 0.9997
0.0910 0.5908 0.1819
0.0909 0.1819 0.5911
0.5272 0.6423 0.0004
0.4732 0.0004 0.3581
0.4998 0.4089 0.5908
0.1151 0.6419 0.6423
0.8849 0.3581 0.3577
0.5002 0.5911 0.4092
0.5268 0.9996 0.6419
0.4728 0.3577 0.9996
0.9091 0.8181 0.4089
0.9090 0.4092 0.8181
0.0000 0.0000 0.0000
```


No. 3
This record from the Alexandria database describes crystalline Cs2RbPd at its relaxed geometry. The functional is PBE-GGA.

Geometry as POSCAR:
```
Cs2RbPd
1.0
5.6603 0.0000 0.0000
2.8302 4.9020 0.0000
2.8302 1.6340 9.9428
Cs Rb Pd
2 1 1
direct
0.0441 0.0441 0.8678
0.2849 0.2849 0.1454
0.5230 0.5230 0.4309
0.6480 0.6480 0.0559
```

Summary:
Energy above the lowest structure with this stoichiometry (eV/atom): 0.000


No. 4
This record from the Alexandria database describes crystalline Cs6Rb5Pd at its relaxed geometry. The functional is PBE-GGA.

Geometry as POSCAR:
```
Cs6Rb5Pd
1.0
13.1064 0.0000 1.8400
6.5532 9.5829 0.9200
1.1649 0.0000 9.0947
Cs Rb Pd
6 5 1
direct
0.7001 0.2587 0.1776
0.0412 0.2587 0.8224
0.8503 0.0000 0.7299
0.1497 0.0000 0.2701
0.9588 0.7413 0.1776
0.2999 0.7413 0.8224
0.2518 0.4964 0.5000
0.3723 0.2555 0.0000
0.5000 0.0000 0.5000
0.6277 0.7445 0.0000
0.7482 0.5036 0.5000
0.0000 0.0000 0.0000
```


no.,calculated formation energy (eV/f.u.)
1,0.861
2,1.158
3,0.448
4,0.440